# K2CoHgF6 PBE with a Hubbard U optimized geometry
# theoretical density	4.561	g/cm³
# raw total energy	-39.8	eV for the cell shown
# D(E_F)	11.22	states/eV/f.u.
# E above lowest polymorph	0.80	eV per formula unit
data_K2CoHgF6
_chemical_formula_sum 'K2 Co1 Hg1 F6'
_cell_length_a 6.1496
_cell_length_b 6.1496
_cell_length_c 6.1496
_cell_angle_alpha 60.00
_cell_angle_beta 60.00
_cell_angle_gamma 60.00
_symmetry_space_group_name_H-M 'P 1'
_symmetry_Int_Tables_number 1
loop_
_symmetry_equiv_pos_as_xyz
'x,y,z'
loop_
_atom_site_label
_atom_site_fract_x
_atom_site_fract_y
_atom_site_fract_z
Co1 0.0000 0.0000 0.0000
Hg1 0.5000 0.5000 0.5000
K1 0.7500 0.7500 0.7500
F1 0.7655 0.2345 0.2345
F2 0.7655 0.2345 0.7655
F3 0.7655 0.7655 0.2345
K2 0.2500 0.2500 0.2500
F4 0.2345 0.2345 0.7655
F5 0.2345 0.7655 0.2345
F6 0.2345 0.7655 0.7655